First-principles (PBE) data for Ho5Ir3 after structural relaxation, as listed in the Alexandria database.

Structure (POSCAR):
```
Ho5Ir3
1.0
-10.2514 0.3409 3.5236
2.2161 -7.8002 7.2020
1.6161 4.4069 4.2756
Ho Ir
20 12
Cartesian
-2.1818 1.0856 3.2826
0.4528 -3.1399 11.3564
-5.6457 3.4311 6.8888
-4.6273 -5.2013 10.6869
-2.8512 -2.0993 11.5327
-4.9519 0.2470 5.1941
-1.8572 -4.3626 8.7755
-2.3417 2.3905 6.7125
-0.2197 -0.4084 6.3558
-0.6382 -3.9830 5.4840
-7.0072 -2.4130 6.2732
-5.8095 -1.5807 9.6770
-7.5856 -4.6828 8.8313
-7.7010 0.7712 7.9679
1.6718 -2.7603 8.0649
-0.0598 -1.7132 2.9259
0.8081 2.2034 2.1378
0.0000 0.0000 0.0000
-4.0177 -3.7296 5.3628
-3.2096 -1.5262 7.5006
-7.9319 0.1919 5.1576
-5.5887 -3.0081 12.2845
-0.0224 2.1592 4.8545
0.7047 -5.4477 7.7058
-4.7210 0.8263 8.0044
-4.8481 -3.7739 8.0795
-2.3791 -1.4819 4.7839
-0.8901 -1.6752 9.1346
-4.9238 0.7210 2.2959
-4.1157 2.9244 4.4337
2.5223 -0.0437 7.3425
1.7142 -2.2472 5.2047
```

Computed properties:
polymorph energy (0 for the lowest one): 0.0 meV/atom
calculated density: 12.5 g/cm3
crystal system: tetragonal

First-principles (PBE) data for Ho4Ir after structural relaxation, as listed in the Alexandria database.

Structure (POSCAR):
```
Ho4Ir
1.0
0.0000 5.4047 5.4047
5.4047 0.0000 5.4047
5.4047 5.4047 0.0000
Ho Ir
8 2
Cartesian
4.1983 4.1983 4.1983
4.1983 6.6111 6.6111
6.6111 6.6111 4.1983
9.3134 6.9007 6.9007
9.3134 9.3134 9.3134
6.6111 4.1983 6.6111
6.9007 6.9007 9.3134
6.9007 9.3134 6.9007
0.0000 0.0000 0.0000
2.7023 2.7023 2.7023
```

Computed properties:
polymorph energy (0 for the lowest one): 515.8 meV/atom
calculated density: 9.0 g/cm3
crystal system: cubic

Number 1: energy of formation from the pure elements -0.831 eV per atom. Number 2: energy of formation from the pure elements 0.103 eV per atom.